MnBe2Al: single point on PBEsol structure, SCAN.

Properties
* DFT formation energy: -0.11 eV/atom
* calculated total energy: -8.789 eV/atom
* crystal system: orthorhombic
* DOS at the Fermi energy: 1.4 states/eV/cell
* space-group type: Amm2

Unit cell a=2.471 b=3.644 c=4.671 alpha=90.00 beta=105.34 gamma=90.00
Fractional coordinates of all 4 atoms:
Be 0.179 0.000 0.359
Be 0.056 0.500 0.113
Al 0.804 0.500 0.608
Mn 0.454 0.000 0.907


CsTiF3: single point on PBEsol structure, SCAN.

Properties
* formation energy (no corrections): -3.0566 eV/atom
* calculated total energy: -15.949 eV/atom
* crystal system: cubic
* DOS at the Fermi energy: 4.2 states/eV/cell
* space-group type: Pm-3m

Unit cell a=4.268 b=4.268 c=4.268 alpha=90.00 beta=90.00 gamma=90.00
Fractional coordinates of all 5 atoms:
F 0.500 0.000 0.000
F 0.000 0.500 0.000
F 0.000 0.000 0.500
Ti 0.000 0.000 0.000
Cs 0.500 0.500 0.500


YInPt: single point on PBEsol structure, SCAN.

Properties
* DFT formation energy: -1.07 eV/atom
* calculated total energy: -44.881 eV/atom
* crystal system: cubic
* DOS at the Fermi energy: 4.3 states/eV/cell
* space-group type: F-43m

Unit cell a=4.653 b=4.653 c=4.653 alpha=60.00 beta=60.00 gamma=60.00
Fractional coordinates of all 3 atoms:
Pt 0.250 0.250 0.250
Y 0.000 0.000 0.000
In 0.500 0.500 0.500


Li2YBr: single point on PBEsol structure, SCAN.

Properties
* formation energy (no corrections): -0.1020 eV/atom
* calculated total energy: -13.122 eV/atom
* crystal system: cubic
* DOS at the Fermi energy: 3.9 states/eV/cell
* space-group type: F-43m
* relative energy among the computed polymorphs: 291.1 meV/atom

Unit cell a=5.027 b=5.027 c=5.027 alpha=60.00 beta=60.00 gamma=60.00
Fractional coordinates of all 4 atoms:
Br 0.500 0.500 0.500
Li 0.750 0.750 0.750
Li 0.000 0.000 0.000
Y 0.250 0.250 0.250


K2CoRh: single point on PBEsol structure, SCAN.

Properties
* DFT formation energy: 0.43 eV/atom
* calculated total energy: -16.508 eV/atom
* crystal system: orthorhombic
* DOS at the Fermi energy: 2.2 states/eV/cell
* space-group type: Immm
* relative energy among the computed polymorphs: 0.0 meV/atom

Unit cell a=3.292 b=3.525 c=9.992 alpha=100.16 beta=99.48 gamma=90.00
Fractional coordinates of all 4 atoms:
Rh 0.000 0.500 0.000
K 0.141 0.141 0.282
K 0.859 0.859 0.718
Co 0.500 0.000 0.000


Ca2CrCo: single point on PBEsol structure, SCAN.

Properties
* DFT formation energy: 0.41 eV/atom
* calculated total energy: -13.340 eV/atom
* crystal system: tetragonal
* DOS at the Fermi energy: 3.7 states/eV/cell
* space-group type: P4mm
* relative energy among the computed polymorphs: 0.0 meV/atom

Unit cell a=3.162 b=3.162 c=8.478 alpha=90.00 beta=90.00 gamma=90.00
Fractional coordinates of all 4 atoms:
Ca 0.500 0.500 0.325
Ca 0.000 0.000 0.930
Cr 0.500 0.500 0.664
Co 0.000 0.000 0.581


Ge3PbAu: single point on PBEsol structure, SCAN.

Properties
* DFT formation energy: 1.32 eV/atom
* calculated total energy: -39.118 eV/atom
* crystal system: cubic
* DOS at the Fermi energy: 2.7 states/eV/cell
* space-group type: Pm-3m

Unit cell a=5.310 b=5.310 c=5.310 alpha=90.00 beta=90.00 gamma=90.00
Fractional coordinates of all 5 atoms:
Ge 0.000 0.000 0.500
Ge 0.500 0.000 0.000
Ge 0.000 0.500 0.000
Au 0.500 0.500 0.500
Pb 0.000 0.000 0.000


NaSbN2O: single point on PBEsol structure, SCAN.

Properties
* formation energy (no corrections): 0.2496 eV/atom
* calculated total energy: -13.008 eV/atom
* crystal system: tetragonal
* DOS at the Fermi energy: 1.9 states/eV/cell
* space-group type: P4/mmm

Unit cell a=4.031 b=4.062 c=4.062 alpha=90.00 beta=90.00 gamma=90.00
Fractional coordinates of all 5 atoms:
Sb 0.000 0.000 0.000
N 0.000 0.500 0.000
N 0.000 0.000 0.500
O 0.500 0.000 0.000
Na 0.500 0.500 0.500